[1]
PBE ScAl2Rh, optimized geometry; energy of formation = -586 meV per atom; electronic total energy = -23.513 eV for the cell shown
1.0
-2.825 -3.066 1.307
1.668 -2.137 -1.407
2.897 -1.016 3.877
Al Rh Sc
2 1 1
direct
0.500 0.139 0.284 Al
0.000 0.146 0.987 Al
0.000 0.537 0.441 Rh
0.500 0.679 0.788 Sc

[2]
PBE Sc3TaFe8, optimized geometry; energy of formation = -257 meV per atom; electronic total energy = -101.630 eV for the cell shown
1.0
4.695 0.000 1.416
2.133 4.182 1.416
0.001 0.000 8.478
Fe Sc Ta
8 3 1
direct
0.938 0.441 0.683 Fe
0.934 0.437 0.192 Fe
0.938 0.938 0.683 Fe
0.437 0.934 0.192 Fe
0.441 0.938 0.683 Fe
0.187 0.187 0.437 Fe
0.437 0.437 0.192 Fe
0.688 0.688 0.937 Fe
0.000 0.000 0.999 Sc
0.499 0.499 0.501 Sc
0.375 0.375 0.876 Sc
0.875 0.875 0.374 Ta

[3]
PBE La11Cd9Pt4, optimized geometry; energy of formation = -655 meV per atom; electronic total energy = -102.327 eV for the cell shown
1.0
3.883 0.000 0.000
0.000 12.621 -5.328
0.000 0.061 13.700
Cd La Pt
9 11 4
direct
0.500 0.074 0.215 Cd
0.500 0.364 0.840 Cd
0.500 0.160 0.636 Cd
0.500 0.785 0.926 Cd
0.500 0.926 0.785 Cd
0.500 0.636 0.160 Cd
0.500 0.840 0.364 Cd
0.500 0.500 0.500 Cd
0.500 0.215 0.074 Cd
0.000 0.162 0.838 La
0.000 0.925 0.584 La
0.000 0.584 0.925 La
0.000 0.838 0.162 La
0.000 0.416 0.075 La
0.000 0.627 0.373 La
0.000 0.075 0.416 La
0.000 0.692 0.692 La
0.000 0.373 0.627 La
0.000 0.000 0.000 La
0.000 0.308 0.308 La
0.500 0.450 0.249 Pt
0.500 0.550 0.751 Pt
0.500 0.249 0.450 Pt
0.500 0.751 0.550 Pt

[4]
PBE TbDy2Y5, optimized geometry; energy of formation = 253 meV per atom; electronic total energy = -88.262 eV for the cell shown
1.0
6.498 2.888 0.000
1.743 9.174 0.000
0.000 0.000 9.932
Dy Y Tb
4 10 2
direct
0.775 0.636 0.092 Dy
0.775 0.636 0.408 Dy
0.225 0.364 0.908 Dy
0.225 0.364 0.592 Dy
0.211 0.724 0.750 Y
0.749 0.001 0.975 Y
0.730 0.363 0.591 Y
0.749 0.001 0.525 Y
0.789 0.276 0.250 Y
0.270 0.637 0.409 Y
0.251 0.999 0.475 Y
0.730 0.363 0.909 Y
0.270 0.637 0.091 Y
0.251 0.999 0.025 Y
0.289 0.283 0.250 Tb
0.711 0.717 0.750 Tb